1) Here is an optimized crystal structure of Tm8GaPd2 from Alexandria. Energies are from PBE.

Output
Magnetization   0.03 μB per formula unit
Density   9.3 g/cm³
Crystal system   monoclinic
DOS(E_F)   1.244 states/eV per atom

Cell lengths 7.8922, 7.8922, 5.4323 Å; angles 99.26, 99.26, 115.28 degrees
Atoms (fractional coordinates):
1 Tm 0.0000 0.0000 0.0000
2 Tm 0.0514 0.2989 0.6033
3 Tm 0.1610 0.6155 0.1906
4 Tm 0.2989 0.0514 0.6033
5 Tm 0.4708 0.7196 0.7922
6 Tm 0.6155 0.1610 0.1906
7 Tm 0.7196 0.4708 0.7922
8 Tm 0.7618 0.7618 0.3777
9 Ga 0.3832 0.3832 0.1177
10 Pd 0.0796 0.6849 0.6867
11 Pd 0.6849 0.0796 0.6867



2) Here is an optimized crystal structure of Tm8GaPd2 from Alexandria. Energies are from PBE.

Output
Magnetization   0.00 μB per formula unit
Density   9.6 g/cm³
Crystal system   monoclinic
DOS(E_F)   0.906 states/eV per atom

Cell lengths 9.0236, 9.0236, 6.7719 Å; angles 106.32, 106.32, 32.24 degrees
Atoms (fractional coordinates):
1 Tm 0.0326 0.0326 0.2814
2 Tm 0.1991 0.1991 0.8190
3 Tm 0.3283 0.3283 0.5225
4 Tm 0.4058 0.4058 0.0360
5 Tm 0.5942 0.5942 0.9640
6 Tm 0.6717 0.6717 0.4775
7 Tm 0.8009 0.8009 0.1810
8 Tm 0.9674 0.9674 0.7186
9 Ga 0.5000 0.5000 0.5000
10 Pd 0.1836 0.1836 0.2146
11 Pd 0.8164 0.8164 0.7854



How far above the most stable structure does each one sit? In meV per atom: 1) 122; 2) 0.



1) Here is an optimized crystal structure of TmGa2Pd7 from Alexandria. Energies are from PBE.

Output
Magnetization   0.00 μB per formula unit
Density   10.3 g/cm³
Crystal system   tetragonal
DOS(E_F)   0.249 states/eV per atom

Cell lengths 10.4117, 10.4117, 10.4117 Å; angles 157.19, 157.19, 32.48 degrees
Atoms (fractional coordinates):
1 Tm 0.0000 0.0000 0.0000
2 Ga 0.3247 0.3247 0.0000
3 Ga 0.6753 0.6753 0.0000
4 Pd 0.1015 0.6015 0.5000
5 Pd 0.2500 0.7500 0.5000
6 Pd 0.3985 0.8985 0.5000
7 Pd 0.5000 0.5000 0.0000
8 Pd 0.6015 0.1015 0.5000
9 Pd 0.7500 0.2500 0.5000
10 Pd 0.8985 0.3985 0.5000



2) Here is an optimized crystal structure of TmGa2Pd7 from Alexandria. Energies are from PBE.

Output
Magnetization   0.00 μB per formula unit
Density   8.7 g/cm³
Crystal system   orthorhombic
DOS(E_F)   0.436 states/eV per atom

Cell lengths 7.1144, 7.1144, 4.4738 Å; angles 90.00, 90.00, 117.94 degrees
Atoms (fractional coordinates):
1 Tm 0.0000 0.0000 0.0000
2 Ga 0.3006 0.6994 0.5000
3 Ga 0.6994 0.3006 0.5000
4 Pd 0.0688 0.3060 0.5000
5 Pd 0.2233 0.7767 0.0000
6 Pd 0.3060 0.0688 0.5000
7 Pd 0.5000 0.5000 0.5000
8 Pd 0.6940 0.9312 0.5000
9 Pd 0.7767 0.2233 0.0000
10 Pd 0.9312 0.6940 0.5000



How far above the most stable structure does each one sit? In meV per atom: 1) 0; 2) 379.



1) Here is an optimized crystal structure of Tm2Ga5Pd3 from Alexandria. Energies are from PBE.

Output
Magnetization   0.00 μB per formula unit
Density   9.1 g/cm³
Crystal system   orthorhombic
DOS(E_F)   0.456 states/eV per atom

Cell lengths 8.6628, 8.6628, 8.6628 Å; angles 108.79, 83.60, 142.13 degrees
Atoms (fractional coordinates):
1 Tm 0.1463 0.2232 0.3695
2 Tm 0.3537 0.7232 0.0769
3 Tm 0.6463 0.2768 0.9231
4 Tm 0.8537 0.7768 0.6305
5 Ga 0.0474 0.7500 0.2974
6 Ga 0.0902 0.6763 0.7665
7 Ga 0.2500 0.2500 0.0000
8 Ga 0.4098 0.1763 0.5862
9 Ga 0.4526 0.7500 0.7026
10 Ga 0.5474 0.2500 0.2974
11 Ga 0.5902 0.8237 0.4138
12 Ga 0.7500 0.7500 0.0000
13 Ga 0.9098 0.3237 0.2335
14 Ga 0.9526 0.2500 0.7026
15 Pd 0.1485 0.9102 0.0587
16 Pd 0.2500 0.7500 0.5000
17 Pd 0.3515 0.4102 0.7617
18 Pd 0.6485 0.5898 0.2383
19 Pd 0.7500 0.2500 0.5000
20 Pd 0.8515 0.0898 0.9413



2) Here is an optimized crystal structure of Tm2Ga5Pd3 from Alexandria. Energies are from PBE.

Output
Magnetization   0.00 μB per formula unit
Density   9.3 g/cm³
Crystal system   orthorhombic
DOS(E_F)   0.474 states/eV per atom

Cell lengths 12.5560, 12.5560, 6.6898 Å; angles 90.00, 90.00, 160.02 degrees
Atoms (fractional coordinates):
1 Tm 0.0160 0.9840 0.5000
2 Tm 0.3256 0.6744 0.5235
3 Tm 0.6744 0.3256 0.0235
4 Tm 0.9840 0.0160 0.0000
5 Ga 0.1041 0.8959 0.8332
6 Ga 0.2062 0.7938 0.3263
7 Ga 0.2082 0.7918 0.7335
8 Ga 0.3776 0.6224 0.9905
9 Ga 0.4496 0.5504 0.6837
10 Ga 0.5504 0.4496 0.1837
11 Ga 0.6224 0.3776 0.4905
12 Ga 0.7918 0.2082 0.2335
13 Ga 0.7938 0.2062 0.8263
14 Ga 0.8959 0.1041 0.3332
15 Pd 0.1056 0.8944 0.2290
16 Pd 0.2747 0.7253 0.0325
17 Pd 0.4481 0.5519 0.2857
18 Pd 0.5519 0.4481 0.7857
19 Pd 0.7253 0.2747 0.5325
20 Pd 0.8944 0.1056 0.7290



How far above the most stable structure does each one sit? In meV per atom: 1) 7; 2) 0.